CrAuO, optimized geometry, DFT PBE with a Hubbard U; space group = No. 62; DFT total energy = -72.08 eV for the cell shown
1.0
4.6907 0.0000 0.0000
0.0000 3.1455 0.0000
0.0000 0.0000 13.3337
O Cr Au
4 4 4
direct
0.3474 0.7500 0.7783
0.1526 0.7500 0.2783
0.8474 0.2500 0.7217
0.6526 0.2500 0.2217
0.4487 0.7500 0.1777
0.5513 0.2500 0.8223
0.0513 0.7500 0.6777
0.9487 0.2500 0.3223
0.7555 0.7500 0.9892
0.7445 0.7500 0.4892
0.2555 0.2500 0.5108
0.2445 0.2500 0.0108